! AlSbRu3 | Alexandria via LeMat-Bulk | PBE-GGA | relaxed; values from VASP
&SYSTEM
  ibrav = 0, nat = 5, ntyp = 3
/
ATOMIC_SPECIES
Al 26.98 Al.upf
Sb 121.76 Sb.upf
Ru 101.07 Ru.upf
ATOMIC_POSITIONS crystal
Al 0.000 0.000 0.000
Sb 0.500 0.500 0.500
Ru 0.000 0.500 0.500
Ru 0.500 0.000 0.500
Ru 0.500 0.500 0.000
CELL_PARAMETERS angstrom
4.766 0.000 0.000
0.000 4.766 0.000
0.000 0.000 4.766
! Formation energy (no corrections) = 1.444 eV per atom
! Energy above the lowest structure with this stoichiometry = 0.622 eV/atom
! ρ = 6.9 g cm⁻³